Compound: RbSbIO2
Source: Alexandria via LeMat-Bulk
Functional: GGA-PBEsol
Structure: optimized geometry

total magnetization: 3.72 μB/cell
SG: P4/mmm

```
RbSbIO2
1.0
-3.138 -3.231 1.388
0.513 -2.262 -4.103
4.980 -3.695 2.660
I Sb O Rb
1 1 2 1
Cartesian
2.490 -1.847 1.330 I
1.177 -4.594 -0.027 Sb
0.257 -1.131 -2.052 O
-1.569 -1.615 0.694 O
0.000 0.000 0.000 Rb
```

---

Compound: RbTaI2O
Source: Alexandria via LeMat-Bulk
Functional: GGA-PBEsol
Structure: optimized geometry

total magnetization: 1.69 μB/cell
SG: P4/mmm

```
RbTaI2O
1.0
3.929 0.000 0.000
0.000 5.890 0.000
0.000 0.000 5.890
I O Rb Ta
2 1 1 1
Cartesian
0.000 0.000 2.945 I
0.000 2.945 0.000 I
1.965 0.000 0.000 O
1.965 2.945 2.945 Rb
0.000 0.000 0.000 Ta
```

---

Compound: RbWI2O
Source: Alexandria via LeMat-Bulk
Functional: GGA-PBEsol
Structure: optimized geometry

total magnetization: 1.71 μB/cell
SG: P4/mmm

```
RbWI2O
1.0
3.861 0.000 0.000
0.000 5.929 0.000
0.000 0.000 5.929
I O Rb W
2 1 1 1
Cartesian
0.000 0.000 2.965 I
0.000 2.965 0.000 I
1.930 0.000 0.000 O
1.930 2.965 2.965 Rb
0.000 0.000 0.000 W
```

---

Compound: RbYI2O
Source: Alexandria via LeMat-Bulk
Functional: GGA-PBEsol
Structure: optimized geometry

total magnetization: 0.00 μB/cell
SG: P4/mmm

```
RbYI2O
1.0
4.196 0.000 0.000
0.000 6.243 0.000
0.000 0.000 6.243
I Y O Rb
2 1 1 1
Cartesian
0.000 0.000 3.121 I
0.000 3.121 0.000 I
0.000 0.000 0.000 Y
2.098 0.000 0.000 O
2.098 3.121 3.121 Rb
```

---

Compound: RbZrI2O
Source: Alexandria via LeMat-Bulk
Functional: GGA-PBEsol
Structure: optimized geometry

total magnetization: 0.28 μB/cell
SG: P4/mmm

```
RbZrI2O
1.0
-2.193 -2.841 -1.851
0.862 -3.683 4.632
-4.947 2.121 2.606
I Zr Rb O
2 1 1 1
Cartesian
-2.474 1.060 1.303 I
0.431 -1.841 2.316 I
0.000 0.000 0.000 Zr
-3.139 -2.202 2.694 Rb
-1.096 -1.421 -0.925 O
```

---

Compound: Rb2ZrI6O18
Source: Alexandria via LeMat-Bulk
Functional: GGA-PBEsol
Structure: optimized geometry

total magnetization: 0.00 μB/cell
SG: R-3

```
Rb2ZrI6O18
1.0
7.667 -0.023 -0.027
-0.998 7.602 -0.027
-0.998 -1.134 7.517
Rb Zr I O
2 1 6 18
Cartesian
4.727 5.372 6.222 Rb
0.943 1.072 1.241 Rb
2.835 3.222 3.732 Zr
5.866 4.678 2.181 I
1.777 5.221 0.800 I
3.893 1.223 6.663 I
0.718 6.006 4.946 I
-0.196 1.766 5.282 I
4.953 0.438 2.518 I
1.888 6.534 2.077 O
6.241 1.661 2.978 O
4.817 4.431 0.696 O
5.145 0.458 0.709 O
1.785 3.834 2.055 O
-0.200 -0.051 5.209 O
0.853 2.013 6.767 O
5.870 6.495 2.254 O
3.885 2.611 5.408 O
3.575 1.704 2.534 O
3.782 -0.090 5.386 O
2.095 4.740 4.930 O
-0.570 4.783 4.485 O
-0.025 5.184 0.557 O
5.695 1.261 6.906 O
1.235 1.958 4.092 O
0.526 5.986 6.754 O
4.435 4.486 3.371 O
```

---

Compound: ReRhIO2
Source: Alexandria via LeMat-Bulk
Functional: GGA-PBEsol
Structure: optimized geometry

total magnetization: 2.69 μB/cell
SG: P4/mmm

```
ReRhIO2
1.0
-3.657 -0.851 0.084
0.798 -3.530 -1.004
0.517 -1.623 6.112
I Re Rh O
1 1 1 2
Cartesian
0.259 -0.811 3.056 I
-1.171 -3.001 2.596 Re
0.000 0.000 0.000 Rh
0.399 -1.765 -0.502 O
-1.828 -0.425 0.042 O
```

---

Compound: ScReIO2
Source: Alexandria via LeMat-Bulk
Functional: GGA-PBEsol
Structure: optimized geometry

total magnetization: 4.46 μB/cell
SG: P4/mmm

```
ScReIO2
1.0
3.994 0.000 0.000
0.000 3.994 0.000
0.000 0.000 5.868
I Re Sc O
1 1 1 2
Cartesian
0.000 0.000 2.934 I
1.997 1.997 2.934 Re
0.000 0.000 0.000 Sc
0.000 1.997 0.000 O
1.997 0.000 0.000 O
```

---

Compound: ReTcI2O
Source: Alexandria via LeMat-Bulk
Functional: GGA-PBEsol
Structure: optimized geometry

total magnetization: 1.92 μB/cell
SG: P4/mmm

```
ReTcI2O
1.0
3.604 0.000 0.000
0.000 5.316 0.000
0.000 0.000 5.316
I Re Tc O
2 1 1 1
Cartesian
0.000 0.000 2.658 I
0.000 2.658 0.000 I
1.802 2.658 2.658 Re
0.000 0.000 0.000 Tc
1.802 0.000 0.000 O
```

---

Compound: RhI2O2
Source: Alexandria via LeMat-Bulk
Functional: GGA-PBEsol
Structure: optimized geometry

total magnetization: 0.01 μB/cell
SG: P4/mmm

```
RhI2O2
1.0
-0.086 -1.350 3.305
1.081 -4.299 -1.727
4.632 0.959 0.512
I Rh O
2 1 2
Cartesian
2.316 0.479 0.256 I
0.540 -2.150 -0.864 I
2.813 -2.345 1.045 Rh
0.000 0.000 0.000 O
-0.043 -0.675 1.653 O
```

---

Compound: RhI2O2
Source: Alexandria via LeMat-Bulk
Functional: GGA-PBEsol
Structure: optimized geometry

total magnetization: 2.35 μB/cell
SG: P4/mmm

```
RhI2O2
1.0
-2.466 1.153 -2.399
-0.497 -5.059 -1.920
-3.954 -0.976 3.596
I Rh O
2 1 2
Cartesian
-1.977 -0.488 1.798 I
-0.249 -2.529 -0.960 I
0.000 0.000 0.000 Rh
-3.459 -2.441 -0.361 O
-1.233 0.576 -1.199 O
```

---

Compound: TeRhI2O
Source: Alexandria via LeMat-Bulk
Functional: GGA-PBEsol
Structure: optimized geometry

total magnetization: 1.94 μB/cell
SG: P4/mmm

```
TeRhI2O
1.0
-2.750 3.118 -2.673
-4.425 -1.659 2.617
0.754 3.850 3.715
I Te Rh O
2 1 1 1
Cartesian
0.377 1.925 1.857 I
-2.213 -0.830 1.309 I
-1.375 1.559 -1.337 Te
0.000 0.000 0.000 Rh
-3.211 2.654 1.829 O
```

---

VASP energy readings, ordered: -2.8374 -5.5245 -5.3959 -5.2067 -5.3440 -5.2449 -5.8904 -6.6638 -5.8077 -3.5728 -4.0489 -3.3495 eV/atom
Density of states at the Fermi level readings, ordered: 0.84 0.33 0.57 0.00 0.36 0.00 0.90 0.60 1.25 0.73 0.88 1.19 states/eV/atom